(1)
The following is a GGA-PBE calculation of NaTaHg after structural relaxation, from Alexandria via LeMat-Bulk.

VASP energy: -4.30 eV per atom
DOS at the Fermi energy: 3.7 states/eV per cell
calculated formation energy: 0.19 eV/atom
space group: Pmmn

abc: 3.0656 12.0685 3.7549
angles: 90.00 90.00 90.00
Fractional positions:
Hg 0.5000 0.7116 0.5000
Hg 0.0000 0.2884 0.0000
Na 0.5000 0.1211 0.5000
Na 0.0000 0.8789 0.0000
Ta 0.0000 0.5634 0.0000
Ta 0.5000 0.4366 0.5000

***

(2)
The following is a GGA-PBE calculation of NaTaHg after structural relaxation, from Alexandria via LeMat-Bulk.

VASP energy: -3.79 eV per atom
DOS at the Fermi energy: 6.0 states/eV per cell
calculated formation energy: 0.70 eV/atom
space group: Pnma

abc: 11.7967 5.3145 5.2402
angles: 90.00 90.00 90.00
Fractional positions:
Ta 0.4996 0.2500 0.9939
Ta 0.9996 0.2500 0.5061
Ta 0.5004 0.7500 0.0061
Ta 0.0004 0.7500 0.4939
Na 0.7505 0.2500 0.2429
Na 0.2495 0.7500 0.7571
Na 0.7495 0.7500 0.7429
Na 0.2505 0.2500 0.2571
Hg 0.0000 0.5000 0.0000
Hg 0.5000 0.5000 0.5000
Hg 0.0000 0.0000 0.0000
Hg 0.5000 0.0000 0.5000

***

(3)
The following is a GGA-PBE calculation of NaTaHg after structural relaxation, from Alexandria via LeMat-Bulk.

VASP energy: -3.74 eV per atom
DOS at the Fermi energy: 3.4 states/eV per cell
calculated formation energy: 0.75 eV/atom
space group: P-6m2

abc: 5.0107 5.0107 6.2915
angles: 90.00 90.00 120.00
Fractional positions:
Na 0.6667 0.3333 0.5000
Na 0.6667 0.3333 0.0000
Hg 0.3333 0.6667 0.7414
Hg 0.3333 0.6667 0.2586
Ta 0.0000 0.0000 0.6975
Ta 0.0000 0.0000 0.3025

***

(4)
The following is a GGA-PBE calculation of Na2TaHg after structural relaxation, from Alexandria via LeMat-Bulk.

VASP energy: -2.65 eV per atom
DOS at the Fermi energy: 6.8 states/eV per cell
calculated formation energy: 1.05 eV/atom
space group: I-42d

abc: 8.4460 8.4460 6.6064
angles: 50.27 50.27 90.00
Fractional positions:
Na 0.0993 0.6250 0.2500
Na 0.6507 0.1250 0.2500
Na 0.8750 0.9007 0.7500
Na 0.3750 0.3493 0.7500
Ta 0.5000 0.5000 0.0000
Ta 0.2500 0.7500 0.5000
Hg 0.7500 0.2500 0.5000
Hg 0.0000 0.0000 0.0000

***

(5)
The following is a GGA-PBE calculation of NaTaHg after structural relaxation, from Alexandria via LeMat-Bulk.

VASP energy: -4.23 eV per atom
DOS at the Fermi energy: 8.0 states/eV per cell
calculated formation energy: 0.27 eV/atom
space group: Pnma

abc: 8.3109 2.9458 10.5706
angles: 90.00 90.00 90.00
Fractional positions:
Hg 0.8427 0.2500 0.7075
Hg 0.6573 0.7500 0.2075
Hg 0.1573 0.7500 0.2925
Hg 0.3427 0.2500 0.7925
Ta 0.5513 0.7500 0.6020
Ta 0.9487 0.2500 0.1020
Ta 0.4487 0.2500 0.3980
Ta 0.0513 0.7500 0.8980
Na 0.8432 0.2500 0.4168
Na 0.1568 0.7500 0.5832
Na 0.3432 0.2500 0.0832
Na 0.6568 0.7500 0.9168

***

(6)
The following is a GGA-PBE calculation of NaTaHg after structural relaxation, from Alexandria via LeMat-Bulk.

VASP energy: -4.30 eV per atom
DOS at the Fermi energy: 3.6 states/eV per cell
calculated formation energy: 0.19 eV/atom
space group: Pm

abc: 2.9825 14.8792 2.9745
angles: 88.29 90.03 90.01
Fractional positions:
Na 0.6988 0.6332 0.1284
Na 0.6997 0.2878 0.1837
Hg 0.1996 0.4600 0.6555
Hg 0.2006 0.7994 0.6082
Ta 0.2008 0.0949 0.7024
Ta 0.7009 0.9576 0.0776

***

Question: What is the DOS at the Fermi energy in the third record?
Answer: 3.4 states/eV per cell

***

Question: Look up the calculated formation energy of the first one.
Answer: 0.19 eV/atom